RbAg2Hg | PBE | relaxed

Cell: 10.5965 10.5965 10.5965 Å, 150.19 150.19 42.66°
Last column: nearest neighbours and their distance in Å.
Fractional positions:
Rb1 0.3750 0.6250 0.7500  4 Hg 3.85, 8 Ag 3.92
Rb2 0.6250 0.3750 0.2500  4 Hg 3.85, 8 Ag 3.92
Ag1 0.0000 0.0000 0.0000  2 Ag 2.73, 2 Hg 2.82
Ag2 0.0000 0.0000 0.5000  2 Ag 2.73, 2 Hg 2.82
Ag3 0.0000 0.5000 0.0000  2 Ag 2.73, 2 Hg 2.82
Ag4 0.5000 0.0000 0.5000  2 Ag 2.73, 2 Hg 2.82
Hg1 0.1250 0.8750 0.2500  4 Ag 2.82
Hg2 0.8750 0.1250 0.7500  4 Ag 2.82

Values from the calculation:
As for the space group: No. 141. Its energy relative to the elements is 0.043 eV/atom.


Re2TcHW | PBE | relaxed

Cell: 3.9606 3.9606 4.0095 Å, 90.00 90.00 90.00°
Last column: nearest neighbours and their distance in Å.
Fractional positions:
Re1 0.0000 0.5000 0.0000  2 H 1.98
Re2 0.5000 0.0000 0.0000  2 H 1.98
Tc1 0.0000 0.0000 0.5000  4 W 2.80, 8 Re 2.82
H1 0.5000 0.5000 0.0000  4 Re 1.98, 2 W 2.00
W1 0.5000 0.5000 0.5000  2 H 2.00

Values from the calculation:
As for the space group: No. 123. The value obtained for the total energy is -50.76 eV/f.u.


CaCuRu2 | PBE | relaxed

Cell: 2.8679 4.6639 4.9092 Å, 90.00 98.21 90.00°
Last column: nearest neighbours and their distance in Å.
Fractional positions:
Ca1 0.0000 0.0000 0.0000  2 Cu 2.66, 2 Ca 2.87, 4 Ru 2.89
Cu1 0.5000 0.0000 0.5000  2 Ca 2.66, 4 Ru 2.68, 2 Cu 2.87
Ru1 0.3090 0.5000 0.7273  5 Ru 2.62-2.87, 2 Cu 2.68, 2 Ca 2.89
Ru2 0.6910 0.5000 0.2727  5 Ru 2.62-2.87, 2 Cu 2.68, 2 Ca 2.89

Values from the calculation:
As for the space group: No. 10. Its energy relative to the elements is 0.430 eV/atom.


Ac3AgHIr | PBE | relaxed

Cell: 9.0868 4.3233 9.5211 Å, 90.00 102.43 90.00°
Last column: nearest neighbours and their distance in Å.
Fractional positions:
Ac1 0.0576 0.2500 0.3356  3 Ir 3.01-3.05
Ac2 0.2988 0.2500 0.9731  3 H 2.50-2.55
Ac3 0.3861 0.7500 0.6419  1 H 2.59
Ac4 0.6139 0.2500 0.3581  1 H 2.59
Ac5 0.7012 0.7500 0.0269  3 H 2.50-2.55
Ac6 0.9424 0.7500 0.6644  3 Ir 3.01-3.05
Ag1 0.3215 0.7500 0.2567  7 Ac 3.40-3.59, 1 H 3.53
Ag2 0.6785 0.2500 0.7433  7 Ac 3.40-3.59, 1 H 3.53
H1 0.4243 0.7500 0.9200  4 Ac 2.50-2.59
H2 0.5757 0.2500 0.0800  4 Ac 2.50-2.59
Ir1 0.1716 0.2500 0.6614  6 Ac 2.94-3.05
Ir2 0.8284 0.7500 0.3386  6 Ac 2.94-3.05

Values from the calculation:
As for the space group: No. 11. The value obtained for the total energy is -30.30 eV/f.u.


Number 1: size of the total moment 0.00 μB per cell. Number 2: size of the total moment 0.00 μB per cell. Number 3: size of the total moment 0.00 μB per cell. Number 4: size of the total moment 0.00 μB per cell.